Density functional theory data (PBE with a Hubbard U) for FeGeIrO6 after structural relaxation.

Its symmetry is P-31c. As for the volume: 10.61 Å³ per atom. The calculation puts the total energy at -6.578 eV per atom.

Cell: 5.0354 5.0354 8.7010 Å, 90.00 90.00 120.00°
Last column: nearest neighbours and their distance in Å.
Fractional positions:
Fe 0.0000 0.0000 0.0000  6 O 2.08
Fe 0.0000 0.0000 0.5000  6 O 2.08
Ge 0.3333 0.6667 0.2500  6 O 1.92
Ge 0.6667 0.3333 0.7500  6 O 1.92
Ir 0.6667 0.3333 0.2500  6 O 1.98
Ir 0.3333 0.6667 0.7500  6 O 1.98
O 0.6511 0.6596 0.1308  1 Ge 1.92, 1 Ir 1.98, 1 Fe 2.08
O 0.0085 0.3489 0.1308  1 Ge 1.92, 1 Ir 1.98, 1 Fe 2.08
O 0.3489 0.0085 0.6308  1 Ge 1.92, 1 Ir 1.98, 1 Fe 2.08
O 0.9915 0.6511 0.8692  1 Ge 1.92, 1 Ir 1.98, 1 Fe 2.08
O 0.3404 0.3489 0.3692  1 Ge 1.92, 1 Ir 1.98, 1 Fe 2.08
O 0.0085 0.6596 0.3692  1 Ge 1.92, 1 Ir 1.98, 1 Fe 2.08
O 0.6596 0.0085 0.8692  1 Ge 1.92, 1 Ir 1.98, 1 Fe 2.08
O 0.6511 0.9915 0.3692  1 Ge 1.92, 1 Ir 1.98, 1 Fe 2.08
O 0.9915 0.3404 0.6308  1 Ge 1.92, 1 Ir 1.98, 1 Fe 2.08
O 0.3404 0.9915 0.1308  1 Ge 1.92, 1 Ir 1.98, 1 Fe 2.08
O 0.6596 0.6511 0.6308  1 Ge 1.92, 1 Ir 1.98, 1 Fe 2.08
O 0.3489 0.3404 0.8692  1 Ge 1.92, 1 Ir 1.98, 1 Fe 2.08